Entry 1:
Zr2GaSb2 (PBE-GGA, optimized geometry); formation energy from raw total energies = -1.71 eV per formula unit; SG = Pnma, No. 62
1.0
8.228 0.000 0.000
0.000 5.576 0.000
0.000 0.000 10.863
Zr Ga Sb
8 4 8
direct
0.106 0.250 0.227
0.109 0.250 0.912
0.391 0.750 0.412
0.394 0.750 0.727
0.606 0.250 0.273
0.609 0.250 0.588
0.891 0.750 0.088
0.894 0.750 0.773
0.107 0.750 0.575
0.393 0.250 0.075
0.607 0.750 0.925
0.893 0.250 0.425
0.055 0.750 0.321
0.185 0.750 0.945
0.315 0.250 0.445
0.445 0.250 0.821
0.555 0.750 0.179
0.685 0.750 0.555
0.815 0.250 0.055
0.945 0.250 0.679

Entry 2:
Zr3GaSb (PBE-GGA, optimized geometry); formation energy from raw total energies = 0.87 eV per formula unit; SG = Pm-3m, No. 221
1.0
4.999 0.000 0.000
0.000 4.999 0.000
0.000 0.000 4.999
Zr Ga Sb
3 1 1
direct
0.000 0.000 0.500
0.000 0.500 0.000
0.500 0.000 0.000
0.000 0.000 0.000
0.500 0.500 0.500

Entry 3:
Zr2GaSb2 (PBE-GGA, optimized geometry); formation energy from raw total energies = -1.61 eV per formula unit; SG = P4/mbm, No. 127
1.0
7.954 0.000 0.000
0.000 7.954 0.000
0.000 0.000 3.770
Zr Ga Sb
4 2 4
direct
0.142 0.358 0.000
0.358 0.858 0.000
0.642 0.142 0.000
0.858 0.642 0.000
0.000 0.000 0.500
0.500 0.500 0.500
0.150 0.650 0.500
0.350 0.150 0.500
0.650 0.850 0.500
0.850 0.350 0.500

Entry 4:
ZrGaSb (PBE-GGA, optimized geometry); formation energy from raw total energies = -1.37 eV per formula unit; SG = P4/nmm, No. 129
1.0
3.934 0.000 0.000
0.000 3.934 0.000
0.000 0.000 8.529
Zr Ga Sb
2 2 2
direct
0.250 0.250 0.235
0.750 0.750 0.765
0.250 0.750 0.500
0.750 0.250 0.500
0.250 0.250 0.868
0.750 0.750 0.132

Entry 5:
Zr4GaSb (PBE-GGA, optimized geometry); formation energy from raw total energies = -1.14 eV per formula unit; SG = C2/c, No. 15
1.0
7.484 -2.783 0.000
7.484 2.783 0.000
-1.592 0.000 6.701
Zr Ga Sb
8 2 2
direct
0.041 0.807 0.558
0.193 0.959 0.942
0.196 0.468 0.881
0.468 0.196 0.381
0.532 0.804 0.619
0.804 0.532 0.119
0.807 0.041 0.058
0.959 0.193 0.442
0.000 0.500 0.500
0.500 0.000 0.000
0.386 0.614 0.250
0.614 0.386 0.750

Entry 6:
Zr3GaSb (PBE-GGA, optimized geometry); formation energy from raw total energies = -1.46 eV per formula unit; SG = Imma, No. 74
1.0
-2.257 7.302 7.047
2.257 -7.302 7.047
2.257 7.302 -7.047
Zr Ga Sb
12 4 4
direct
0.021 0.166 0.854
0.150 0.514 0.637
0.188 0.834 0.354
0.288 0.173 0.115
0.377 0.514 0.863
0.442 0.827 0.615
0.558 0.173 0.385
0.623 0.486 0.137
0.712 0.827 0.885
0.812 0.166 0.646
0.850 0.486 0.363
0.979 0.834 0.146
0.258 0.008 0.250
0.431 0.681 0.750
0.569 0.319 0.250
0.742 0.992 0.750
0.130 0.649 0.482
0.333 0.351 0.982
0.667 0.649 0.018
0.870 0.351 0.518

Entry 7:
Zr2Ga2Sb (PBE-GGA, optimized geometry); formation energy from raw total energies = -1.91 eV per formula unit; SG = P4/mbm, No. 127
1.0
7.217 0.000 0.000
0.000 7.217 0.000
0.000 0.000 3.913
Zr Ga Sb
4 4 2
direct
0.182 0.318 0.000
0.318 0.818 0.000
0.682 0.182 0.000
0.818 0.682 0.000
0.120 0.620 0.500
0.380 0.120 0.500
0.620 0.880 0.500
0.880 0.380 0.500
0.000 0.000 0.500
0.500 0.500 0.500

Entry 8:
ZrGaSb (PBE-GGA, optimized geometry); formation energy from raw total energies = -1.13 eV per formula unit; SG = I4mm, No. 107
1.0
3.684 0.000 0.000
0.000 3.684 0.000
0.000 0.000 9.371
Zr Ga Sb
2 2 2
direct
0.000 0.000 0.000
0.500 0.500 0.500
0.000 0.000 0.340
0.500 0.500 0.840
0.000 0.000 0.666
0.500 0.500 0.166

Please write out number 1 again, unchanged.
Zr2GaSb2 (PBE-GGA, optimized geometry); formation energy from raw total energies = -1.71 eV per formula unit; SG = Pnma, No. 62
1.0
8.228 0.000 0.000
0.000 5.576 0.000
0.000 0.000 10.863
Zr Ga Sb
8 4 8
direct
0.106 0.250 0.227
0.109 0.250 0.912
0.391 0.750 0.412
0.394 0.750 0.727
0.606 0.250 0.273
0.609 0.250 0.588
0.891 0.750 0.088
0.894 0.750 0.773
0.107 0.750 0.575
0.393 0.250 0.075
0.607 0.750 0.925
0.893 0.250 0.425
0.055 0.750 0.321
0.185 0.750 0.945
0.315 0.250 0.445
0.445 0.250 0.821
0.555 0.750 0.179
0.685 0.750 0.555
0.815 0.250 0.055
0.945 0.250 0.679